Here is a relaxed VGaCl crystal from Alexandria via LeMat-Bulk. Energies are from GGA-PBE.

Crystal system: orthorhombic
Magnetic moment (μB per cell): 1.36
Formation energy from raw total energies (eV per atom): -0.223
Raw total energy (eV per cell): -58.6

a = 15.121 Å, b = 2.965 Å, c = 5.136 Å
α = 90.00°, β = 90.00°, γ = 90.00°
Space group Amm2 (No. 38)
Inequivalent atoms, fractional coordinates:
V1 0.000 0.000 0.000
V2 0.500 0.000 0.213
Ga1 0.363 0.000 0.880
Cl1 0.110 0.000 0.333



Here is a relaxed VGa3Cl crystal from Alexandria via LeMat-Bulk. Energies are from GGA-PBE.

Crystal system: cubic
Magnetic moment (μB per cell): 4.70
Formation energy from raw total energies (eV per atom): 0.253
Raw total energy (eV per cell): -18.8
Energy above the lowest structure with this stoichiometry (meV/atom): 0.0

a = 5.059 Å, b = 5.059 Å, c = 5.059 Å
α = 90.00°, β = 90.00°, γ = 90.00°
Space group Pm-3m (No. 221)
Inequivalent atoms, fractional coordinates:
V1 0.000 0.000 0.000
Ga1 0.000 0.000 0.500
Cl1 0.500 0.500 0.500



Here is a relaxed VGa3Cl9 crystal from Alexandria via LeMat-Bulk. Energies are from GGA-PBE.

Crystal system: monoclinic
Magnetic moment (μB per cell): 12.00
Formation energy from raw total energies (eV per atom): -1.040
Raw total energy (eV per cell): -193.3

a = 17.033 Å, b = 9.264 Å, c = 12.456 Å
α = 90.00°, β = 123.51°, γ = 90.00°
Space group Cc (No. 9)
Inequivalent atoms, fractional coordinates:
V1 0.000 0.193 0.000
Ga1 0.077 0.020 0.762
Ga2 0.219 0.474 0.231
Ga3 0.422 0.014 0.215
Cl1 0.021 0.209 0.216
Cl2 0.055 0.064 0.571
Cl3 0.121 0.435 0.776
Cl4 0.167 0.273 0.105
Cl5 0.220 0.032 0.924
Cl6 0.266 0.367 0.653
Cl7 0.337 0.387 0.424
Cl8 0.447 0.062 0.433
Cl9 0.473 0.350 0.282



Here is a relaxed VGa2Cl6 crystal from Alexandria via LeMat-Bulk. Energies are from GGA-PBE.

Crystal system: monoclinic
Magnetic moment (μB per cell): 11.17
Formation energy from raw total energies (eV per atom): -0.990
Raw total energy (eV per cell): -140.7

a = 14.862 Å, b = 10.789 Å, c = 6.534 Å
α = 90.00°, β = 97.81°, γ = 90.00°
Space group C2/c (No. 15)
Inequivalent atoms, fractional coordinates:
V1 0.000 0.069 0.250
Ga1 0.083 0.415 0.259
Cl1 0.090 0.080 0.593
Cl2 0.117 0.230 0.135
Cl3 0.165 0.437 0.593



Here is a relaxed VGaCl5 crystal from Alexandria via LeMat-Bulk. Energies are from GGA-PBE.

Crystal system: monoclinic
Magnetic moment (μB per cell): 12.04
Formation energy from raw total energies (eV per atom): -1.060
Raw total energy (eV per cell): -115.2

a = 9.555 Å, b = 9.595 Å, c = 9.343 Å
α = 90.00°, β = 119.52°, γ = 90.00°
Space group C2/c (No. 15)
Inequivalent atoms, fractional coordinates:
V1 0.000 0.000 0.000
Ga1 0.000 0.376 0.250
Cl1 0.000 0.074 0.750
Cl2 0.021 0.257 0.464
Cl3 0.201 0.470 0.843



Here is a relaxed VGa3Cl crystal from Alexandria via LeMat-Bulk. Energies are from GGA-PBE.

Crystal system: cubic
Magnetic moment (μB per cell): 3.46
Formation energy from raw total energies (eV per atom): 0.768
Raw total energy (eV per cell): -16.2
Energy above the lowest structure with this stoichiometry (meV/atom): 515.0

a = 5.048 Å, b = 5.048 Å, c = 5.048 Å
α = 90.00°, β = 90.00°, γ = 90.00°
Space group Pm-3m (No. 221)
Inequivalent atoms, fractional coordinates:
V1 0.000 0.000 0.000
Ga1 0.000 0.500 0.500
Cl1 0.500 0.500 0.500